# GGA-PBE HfSI2Cl, optimized geometry
data_HfSI2Cl
_chemical_formula_sum 'Hf1 S1 I2 Cl1'
_cell_length_a 5.652
_cell_length_b 5.652
_cell_length_c 4.926
_cell_angle_alpha 90.00
_cell_angle_beta 90.00
_cell_angle_gamma 90.00
_symmetry_space_group_name_H-M 'P 4/m m m'
_symmetry_Int_Tables_number 123
_symmetry_space_group_name_Hall '-P 4 2'
loop_
_atom_site_label
_atom_site_fract_x
_atom_site_fract_y
_atom_site_fract_z
Hf1 0.000 0.000 0.000
S1 0.500 0.500 0.500
I1 0.000 0.500 0.000
Cl1 0.000 0.000 0.500
# Total DFT energy (no corrections), eV per atom: -4.00
# Total moment, Bohr magnetons per cell: 1.201
# Formation energy (no corrections), eV/f.u.: -1.0
# Calculated volume, Å³ per atom: 31.47